A relaxed Zn3PtRh crystal, computed with PBE-GGA.

The structure belongs to space group Pmmn (No. 59, origin choice 2); the cell edges are 2.895, 7.669 and 7.180 Å and the angles 90.00°, 90.00° and 90.00°. The inequivalent atoms are Zn at (0.250, 0.039, 0.190), Zn at (0.250, 0.250, 0.685), Pt at (0.250, 0.750, 0.609) and Rh at (0.250, 0.750, 0.019).

The energy of formation from the pure elements is -0.2794 eV/atom. As for the density of states at the Fermi level: 0.38 states/eV per atom. Its final energy is -37.22 eV/cell. The calculation puts the distance to the lowest polymorph of the same formula at 0.0 meV/atom.